Material: DyVOs
Method: DFT, PBE-GGA
State: relaxed

Cell lengths 5.3232, 5.5674, 7.2930 Å; angles 90.00, 90.00, 90.00 degrees
Space group Imma (No. 74)
Inequivalent atoms, fractional coordinates:
1 Dy 0.0000 0.2500 0.1296 (multiplicity 4)
2 V 0.2500 0.2500 0.7500 (multiplicity 4)
3 Os 0.0000 0.0000 0.5000 (multiplicity 4)

Values from the calculation:
Magnetic moment in Bohr magnetons per cell: 0.00
DOS(E_F) in states/eV/cell: 13.41
DFT total energy in eV/cell: -102.5
Volume in Å³/atom: 18.011
Energy of formation from the pure elements in eV/f.u.: -0.675